[1]
A relaxed BaGeSbPd2 crystal. Source: OQMD, functional PBE.

Structure (extended XYZ):
```
10
Lattice="4.659 0.000 0.000 0.000 4.659 0.000 0.000 0.000 10.750" Properties=species:S:1:pos:R:3 pbc="T T T"
Ba 2.329 0.000 7.973
Pd 0.000 2.329 6.560
Sb 2.329 0.000 1.399
Ge 2.329 2.329 5.375
Pd 0.000 0.000 0.000
Pd 2.329 0.000 4.191
Sb 0.000 2.329 9.351
Ge 0.000 0.000 5.375
Pd 2.329 2.329 0.000
Ba 0.000 2.329 2.777
```

Computed properties:
The calculation puts the electronic total energy at -4.94 eV/atom. As for the space-group type: P4/nmm, No. 129.

[2]
A relaxed BaSnGe2Pd crystal. Source: OQMD, functional PBE.

Structure (extended XYZ):
```
5
Lattice="2.198 -5.829 1.213 -1.281 -2.321 5.766 -3.318 2.754 -4.657" Properties=species:S:1:pos:R:3 pbc="T T T"
Pd 0.236 -2.096 1.795
Sn 0.002 -0.017 0.015
Ba 0.556 -4.950 4.238
Ge -1.978 -2.643 3.003
Ge -0.239 -4.397 0.727
```

Computed properties:
The calculation puts the electronic total energy at -4.64 eV/atom. As for the space-group type: I4mm, No. 107.